No. 1
Density functional theory data (PBE) for an optimized crystal structure of AcPaSe2.

a = 4.2351 Å, b = 4.2351 Å, c = 9.6438 Å
α = 77.32°, β = 77.32°, γ = 60.00°
Closest atoms and distances in Å follow each position.
Fractional positions:
Ac (0.5000, 0.5000, 0.5000)  6 Se 3.08
Pa (0.0000, 0.0000, 0.0000)  2 Se 2.79
Se (0.0998, 0.0998, 0.7007)  1 Pa 2.79, 3 Ac 3.08
Se (0.9002, 0.9002, 0.2993)  1 Pa 2.79, 3 Ac 3.08

Calculated values
raw formation energy: -0.838 eV per atom
V: 144.9 Å³/f.u.
energy: -5.981 eV/atom
space-group type: R-3m
DOS at the Fermi energy: 7.405 states/eV/cell


No. 2
Density functional theory data (PBE) for an optimized crystal structure of CoSe2Br.

a = 8.4859 Å, b = 3.4354 Å, c = 14.9972 Å
α = 90.00°, β = 90.00°, γ = 90.00°
Closest atoms and distances in Å follow each position.
Fractional positions:
Co (0.5334, 0.2500, 0.4348)  5 Se 2.27-2.36
Co (0.9666, 0.7500, 0.9348)  5 Se 2.27-2.36
Co (0.4666, 0.7500, 0.5652)  5 Se 2.27-2.36
Co (0.0334, 0.2500, 0.0652)  5 Se 2.27-2.36
Se (0.6575, 0.2500, 0.5692)  3 Co 2.27-2.36
Se (0.8425, 0.7500, 0.0692)  3 Co 2.27-2.36
Se (0.3425, 0.7500, 0.4308)  3 Co 2.27-2.36
Se (0.1575, 0.2500, 0.9308)  3 Co 2.27-2.36
Se (0.3459, 0.2500, 0.6476)  2 Co 2.35, 1 Br 2.42
Se (0.1541, 0.7500, 0.1476)  2 Co 2.35, 1 Br 2.42
Se (0.6541, 0.7500, 0.3524)  2 Co 2.35, 1 Br 2.42
Se (0.8459, 0.2500, 0.8524)  2 Co 2.35, 1 Br 2.42
Br (0.0636, 0.2500, 0.6227)  1 Se 2.42
Br (0.4364, 0.7500, 0.1227)  1 Se 2.42
Br (0.9364, 0.7500, 0.3773)  1 Se 2.42
Br (0.5636, 0.2500, 0.8773)  1 Se 2.42

Calculated values
raw formation energy: -0.194 eV per atom
V: 109.3 Å³/f.u.
energy: -4.130 eV/atom
space-group type: Pnma
DOS at the Fermi energy: 5.959 states/eV/cell


No. 3
Density functional theory data (PBE) for an optimized crystal structure of HoAlNi.

a = 4.9938 Å, b = 7.6251 Å, c = 7.6251 Å
α = 69.94°, β = 61.26°, γ = 61.26°
Closest atoms and distances in Å follow each position.
Fractional positions:
Ho (0.3094, 0.5857, 0.8357)  4 Ni 2.70-2.95
Ho (0.6906, 0.9143, 0.6643)  4 Ni 2.70-2.95
Ho (0.6906, 0.4143, 0.1643)  4 Ni 2.70-2.95
Ho (0.3094, 0.0857, 0.3357)  4 Ni 2.70-2.95
Al (0.1190, 0.3942, 0.6442)  4 Ni 2.50-2.73, 2 Al 2.66
Al (0.1190, 0.8942, 0.1442)  4 Ni 2.50-2.73, 2 Al 2.66
Al (0.8810, 0.6058, 0.3558)  4 Ni 2.50-2.73, 2 Al 2.66
Al (0.8810, 0.1058, 0.8558)  4 Ni 2.50-2.73, 2 Al 2.66
Ni (0.7051, 0.3191, 0.5691)  4 Al 2.50-2.73, 2 Ho 2.70, 2 Ni 2.75
Ni (0.7051, 0.8191, 0.0691)  4 Al 2.50-2.73, 2 Ho 2.70, 2 Ni 2.75
Ni (0.2949, 0.6809, 0.4309)  4 Al 2.50-2.73, 2 Ho 2.70, 2 Ni 2.75
Ni (0.2949, 0.1809, 0.9309)  4 Al 2.50-2.73, 2 Ho 2.70, 2 Ni 2.75

Calculated values
formation enthalpy at 0 K: -0.498 eV per atom
V: 55.2 Å³/f.u.
energy: -5.199 eV/atom
space-group type: P2_1/m
DOS at the Fermi energy: 7.599 states/eV/cell